Entry 1:
Computed, not measured: crystalline CeTm2ThSb4 at its relaxed geometry at the PBE level of DFT.

Results
space group = P2/m, No. 10
ΔE_f (raw) = -1031 meV per atom

Cell lengths 4.4317, 7.6302, 7.6728 Å; angles 70.44, 90.00, 90.00 degrees
With the nearest neighbours (Å) after each atom.
Atoms (fractional coordinates):
Ce 0.5000 0.5000 0.0000  6 Sb 3.17
Tm 0.0000 0.0000 0.0000  6 Sb 3.08
Tm 0.5000 0.0000 0.5000  6 Sb 3.08
Th 0.0000 0.5000 0.5000  6 Sb 3.17-3.18
Sb 0.0000 0.7613 0.7465  3 Tm 3.08, 2 Ce 3.17, 1 Th 3.17
Sb 0.0000 0.2387 0.2535  3 Tm 3.08, 2 Ce 3.17, 1 Th 3.17
Sb 0.5000 0.7619 0.2455  3 Tm 3.08, 1 Ce 3.17, 2 Th 3.18
Sb 0.5000 0.2381 0.7545  3 Tm 3.08, 1 Ce 3.17, 2 Th 3.18

Entry 2:
Computed, not measured: crystalline Ce3YTh2Sb6 at its relaxed geometry at the PBE level of DFT.

Results
space group = C2/m, No. 12
ΔE_f (raw) = -1034 meV per atom

Cell lengths 7.7598, 7.7598, 7.8052 Å; angles 99.54, 99.54, 120.02 degrees
With the nearest neighbours (Å) after each atom.
Atoms (fractional coordinates):
Ce 0.1684 0.8316 0.5000  6 Sb 3.17-3.20
Ce 0.8316 0.1684 0.5000  6 Sb 3.17-3.20
Ce 0.5000 0.5000 0.5000  6 Sb 3.17-3.20
Y 0.0000 0.0000 0.0000  6 Sb 3.14-3.15
Th 0.3339 0.6661 0.0000  6 Sb 3.18
Th 0.6661 0.3339 0.0000  6 Sb 3.18
Sb 0.9179 0.5885 0.7527  1 Y 3.14, 3 Ce 3.17-3.20, 2 Th 3.18
Sb 0.7543 0.7543 0.2499  1 Y 3.15, 3 Ce 3.18-3.20, 2 Th 3.18
Sb 0.0821 0.4115 0.2473  1 Y 3.14, 3 Ce 3.17-3.20, 2 Th 3.18
Sb 0.5885 0.9179 0.7527  1 Y 3.14, 3 Ce 3.17-3.20, 2 Th 3.18
Sb 0.2457 0.2457 0.7501  1 Y 3.15, 3 Ce 3.18-3.20, 2 Th 3.18
Sb 0.4115 0.0821 0.2473  1 Y 3.14, 3 Ce 3.17-3.20, 2 Th 3.18

Entry 3:
Computed, not measured: crystalline Ce3YTh4Sb8 at its relaxed geometry at the PBE level of DFT.

Results
space group = R-3m, No. 166
ΔE_f (raw) = -1003 meV per atom

Cell lengths 8.9840, 8.9827, 8.9840 Å; angles 120.00, 120.00, 90.00 degrees
With the nearest neighbours (Å) after each atom.
Atoms (fractional coordinates):
Ce 0.5000 0.5000 0.0000  6 Sb 3.17
Ce 0.5000 0.5000 0.5000  6 Sb 3.17
Ce 0.0000 0.5000 0.5000  6 Sb 3.17
Y 0.0000 0.5000 0.0000  6 Sb 3.14
Th 0.5000 0.0000 0.0000  6 Sb 3.21
Th 0.5000 0.0000 0.5000  6 Sb 3.18
Th 0.0000 0.0000 0.0000  6 Sb 3.18
Th 0.0000 0.0000 0.5000  6 Sb 3.18
Sb 0.2474 0.7463 0.9989  1 Y 3.14, 2 Ce 3.17, 3 Th 3.18-3.21
Sb 0.2474 0.7463 0.4948  1 Y 3.14, 2 Ce 3.17, 3 Th 3.18-3.21
Sb 0.2505 0.2516 0.5011  3 Ce 3.17, 3 Th 3.18
Sb 0.7515 0.7463 0.9989  1 Y 3.14, 2 Ce 3.17, 3 Th 3.18-3.21
Sb 0.2485 0.2537 0.0011  1 Y 3.14, 2 Ce 3.17, 3 Th 3.18-3.21
Sb 0.7495 0.7484 0.4989  3 Ce 3.17, 3 Th 3.18
Sb 0.7526 0.2537 0.5052  1 Y 3.14, 2 Ce 3.17, 3 Th 3.18-3.21
Sb 0.7526 0.2537 0.0011  1 Y 3.14, 2 Ce 3.17, 3 Th 3.18-3.21

Entry 4:
Computed, not measured: crystalline CeTiSb at its relaxed geometry at the PBE level of DFT.

Results
relative energy among the computed polymorphs = 151 meV/atom
space group = Pmma, No. 51
ΔE_f (raw) = -244 meV per atom

Cell lengths 3.6517, 8.1408, 13.7946 Å; angles 90.00, 90.00, 90.00 degrees
With the nearest neighbours (Å) after each atom.
Atoms (fractional coordinates):
Sb 0.0000 0.2157 0.9369  5 Ti 2.99-3.02, 4 Ce 3.28-3.29
Sb 0.0000 0.7843 0.0631  5 Ti 2.99-3.02, 4 Ce 3.28-3.29
Sb 0.0000 0.2157 0.5631  5 Ti 2.99-3.02, 4 Ce 3.28-3.29
Sb 0.0000 0.7843 0.4369  5 Ti 2.99-3.02, 4 Ce 3.28-3.29
Sb 0.0000 0.2322 0.2500  5 Ti 2.92-3.16
Sb 0.0000 0.7678 0.7500  5 Ti 2.92-3.16
Ti 0.5000 0.0727 0.0883  1 Ce 2.68, 1 Ti 2.71, 2 Sb 2.99
Ti 0.5000 0.9273 0.9117  1 Ce 2.68, 1 Ti 2.71, 2 Sb 2.99
Ti 0.5000 0.0727 0.4117  1 Ce 2.68, 1 Ti 2.71, 2 Sb 2.99
Ti 0.5000 0.9273 0.5883  1 Ce 2.68, 1 Ti 2.71, 2 Sb 2.99
Ti 0.0000 0.5906 0.2500  3 Sb 2.92-3.02, 6 Ce 3.02-3.05
Ti 0.0000 0.4094 0.7500  3 Sb 2.92-3.02, 6 Ce 3.02-3.05
Ce 0.5000 0.4520 0.0955  1 Ce 2.75, 2 Ti 3.02
Ce 0.5000 0.5480 0.9045  1 Ce 2.75, 2 Ti 3.02
Ce 0.5000 0.4520 0.4045  1 Ce 2.75, 2 Ti 3.02
Ce 0.5000 0.5480 0.5955  1 Ce 2.75, 2 Ti 3.02
Ce 0.5000 0.8908 0.2500  2 Ti 2.68
Ce 0.5000 0.1092 0.7500  2 Ti 2.68

Entry 5:
Computed, not measured: crystalline CeTiSb at its relaxed geometry at the PBE level of DFT.

Results
relative energy among the computed polymorphs = 0 meV/atom
space group = P-6m2, No. 187
ΔE_f (raw) = -395 meV per atom

Cell lengths 3.8945, 4.7628, 4.7628 Å; angles 120.00, 90.00, 90.00 degrees
With the nearest neighbours (Å) after each atom.
Atoms (fractional coordinates):
Sb 0.8336 0.6667 0.3333  3 Ti 2.75
Ce 0.3334 0.3333 0.6667  6 Ti 3.37, 6 Sb 3.37
Ti 0.8330 0.0000 0.0000  3 Sb 2.75

Entry 6:
Computed, not measured: crystalline CeTiSb3 at its relaxed geometry at the PBE level of DFT.

Results
relative energy among the computed polymorphs = 0 meV/atom
space group = Pbcm, No. 57
ΔE_f (raw) = -676 meV per atom

Cell lengths 6.1856, 6.3286, 13.2001 Å; angles 90.00, 90.00, 90.00 degrees
With the nearest neighbours (Å) after each atom.
Atoms (fractional coordinates):
Ce 0.7500 0.4934 0.6863  9 Sb 3.25-3.36
Ce 0.2500 0.5066 0.3137  9 Sb 3.25-3.36
Ce 0.7500 0.9934 0.3137  9 Sb 3.25-3.36
Ce 0.2500 0.0066 0.6863  9 Sb 3.25-3.36
Ti 0.5000 0.2500 0.0898  6 Sb 2.76-2.86, 2 Ti 3.09
Ti 0.0000 0.7500 0.9102  6 Sb 2.76-2.86, 2 Ti 3.09
Ti 0.5000 0.7500 0.9102  6 Sb 2.76-2.86, 2 Ti 3.09
Ti 0.0000 0.2500 0.0898  6 Sb 2.76-2.86, 2 Ti 3.09
Sb 0.0000 0.2500 0.4981  4 Sb 3.09-3.16, 4 Ce 3.31
Sb 0.5000 0.7500 0.5019  4 Sb 3.09-3.16, 4 Ce 3.31
Sb 0.0000 0.7500 0.5019  4 Sb 3.09-3.16, 4 Ce 3.31
Sb 0.5000 0.2500 0.4981  4 Sb 3.09-3.16, 4 Ce 3.31
Sb 0.2500 0.1103 0.9271  4 Ti 2.76-2.79
Sb 0.7500 0.8897 0.0729  4 Ti 2.76-2.79
Sb 0.2500 0.6103 0.0729  4 Ti 2.76-2.79
Sb 0.7500 0.3897 0.9271  4 Ti 2.76-2.79
Sb 0.2500 0.5080 0.7696  2 Ti 2.86
Sb 0.7500 0.4920 0.2304  2 Ti 2.86
Sb 0.2500 0.0080 0.2304  2 Ti 2.86
Sb 0.7500 0.9920 0.7696  2 Ti 2.86